{
  "formula": "Ga2TePb",
  "functional": "GGA-PBE",
  "state": "relaxed",
  "e_tot_ev_per_atom": -3.22,
  "sg": "No. 123",
  "dos_ef_per_ev_cell": 2.4,
  "relative_energy_mev_per_atom": 55,
  "e_form_raw_mev_per_atom": 8,
  "lattice_angstrom": [[4.3156, 0.0000, 0.0000], [0.0000, 4.9618, 0.0000], [0.0000, 0.0000, 4.9618]],
  "species": ["Ga", "Ga", "Pb", "Te"],
  "fractional_positions": [[0.0000, 0.0000, 0.5000], [0.0000, 0.5000, 0.0000], [0.5000, 0.0000, 0.0000], [0.5000, 0.5000, 0.5000]]
}


{
  "formula": "GaTePb2",
  "functional": "GGA-PBE",
  "state": "relaxed",
  "e_tot_ev_per_atom": -3.30,
  "sg": "No. 122",
  "dos_ef_per_ev_cell": 5.4,
  "relative_energy_mev_per_atom": 133,
  "e_form_raw_mev_per_atom": 98,
  "lattice_angstrom": [[-6.6609, 0.6074, 0.5568], [-0.5849, -0.2904, -6.6798], [-4.2377, -6.9150, -2.7002]],
  "species": ["Pb", "Pb", "Pb", "Pb", "Ga", "Ga", "Te", "Te"],
  "fractional_positions": [[0.5894, 0.1250, 0.2500], [0.8750, 0.8394, 0.7500], [0.3750, 0.4106, 0.7500], [0.1606, 0.6250, 0.2500], [0.5000, 0.5000, 0.0000], [0.2500, 0.7500, 0.5000], [0.0000, 0.0000, 0.0000], [0.7500, 0.2500, 0.5000]]
}